The following is a GGA-PBE calculation of crystalline SmDy5Tm at its relaxed geometry, from the Alexandria database.

As for the crystal system: orthorhombic. For the density, the calculation gives 6379 kg/m³. The formation enthalpy at 0 K comes out at 1.092 eV per atom. The value obtained for the total energy is -3.5083 eV/atom. Its polymorph energy (0 for the lowest one) is 899 meV per atom.

The structure belongs to space group Immm (No. 71); the cell edges are 5.753, 8.594 and 11.919 Å and the angles 90.00°, 90.00° and 90.00°. Symmetry generates all atoms from Sm at (0.000, 0.000, 0.000), Dy at (0.000, 0.000, 0.245), Dy at (0.000, 0.322, 0.000), Dy at (0.000, 0.500, 0.500) and Tm at (0.000, 0.000, 0.500).

---

The following is a GGA-PBE calculation of crystalline Tb5Pm3Pr3 at its relaxed geometry, from the Alexandria database.

As for the crystal system: hexagonal. For the density, the calculation gives 6045 kg/m³. The formation enthalpy at 0 K comes out at 0.753 eV per atom. The value obtained for the total energy is -3.9503 eV/atom.

The structure belongs to space group P-62m (No. 189); the cell edges are 9.6796, 9.6796 and 5.5935 Å and the angles 90.00°, 90.00° and 120.00°. Symmetry generates all atoms from Tb at (0.0000, 0.7313, 0.0000), Tb at (0.3333, 0.6667, 0.0000), Pm at (0.0000, 0.5322, 0.5000) and Pr at (0.0000, 0.3659, 0.0000).

---

The following is a GGA-PBE calculation of crystalline Pm5DyIn8 at its relaxed geometry, from the Alexandria database.

As for the crystal system: tetragonal. For the density, the calculation gives 7354 kg/m³. The formation enthalpy at 0 K comes out at -0.374 eV per atom. The value obtained for the total energy is -3.9642 eV/atom.

The structure belongs to space group I-4 (No. 82); the cell edges are 9.375, 9.375 and 9.281 Å and the angles 90.00°, 90.00° and 90.00°. Symmetry generates all atoms from Pm at (0.000, 0.000, 0.000), Pm at (0.121, 0.752, 0.373), Dy at (0.000, 0.500, 0.750), In at (0.082, 0.665, 0.035) and In at (0.086, 0.828, 0.712).

---

The following is a GGA-PBE calculation of crystalline AcNiH6 at its relaxed geometry, from the Alexandria database.

As for the crystal system: trigonal. For the density, the calculation gives 6576 kg/m³. The value obtained for the total energy is -4.0856 eV/atom. Its polymorph energy (0 for the lowest one) is 0 meV per atom.

The structure belongs to space group R-3m (No. 166, hexagonal axes); the cell edges are 4.6732, 4.6732 and 11.6853 Å and the angles 90.00°, 90.00° and 120.00°. Symmetry generates all atoms from Ac at (0.0000, 0.0000, 0.0000), Ni at (0.0000, 0.0000, 0.5000) and H at (0.0077, 0.5038, 0.0959).